DFT (PBE-GGA) results for a geometry-optimized Sm2Si2Ag structure.

abc: 4.3095 3.8419 6.9766
angles: 105.98 90.00 90.00
Positions (direct):
Ag  0.0000  0.0000  0.0000
Sm  0.5000  0.6336  0.2672
Sm  0.5000  0.3664  0.7328
Si  0.0000  0.8045  0.6090
Si  0.0000  0.1955  0.3910

Properties
ρ: 6.95 Mg/m³
volume: 22.21 Å³/atom
E: -5.2247 eV/atom
ΔE to the lowest computed polymorph: 0.023 eV per atom